Material: AlVBi3
Method: DFT, PBE
State: relaxed

Cell: 5.3073 5.3073 5.3073 Å, 90.00 90.00 90.00°
With the nearest neighbours (Å) after each atom.
Fractional positions:
Al: 0.0000 0.0000 0.0000  12 Bi 3.75
V: 0.5000 0.5000 0.5000  6 Bi 2.65
Bi: 0.0000 0.5000 0.5000  2 V 2.65
Bi: 0.5000 0.0000 0.5000  2 V 2.65
Bi: 0.5000 0.5000 0.0000  2 V 2.65

Values from the calculation:
Energy relative to the lowest polymorph listed for this composition   0 meV per atom
Energy of formation from the pure elements   532 meV/atom
Size of the total moment   0.00 μB per atom